[1]
Below is a geometry-optimized TlHgC2 structure, with properties calculated at the GGA-PBE level.

The structure belongs to space group Fm-3m (No. 225); the cell edges are 6.317, 6.317 and 6.317 Å and the angles 90.00°, 90.00° and 90.00°. The distinct sites, in fractional coordinates, are Tl at (0.000, 0.000, 0.000), Hg at (0.000, 0.000, 0.500) and C at (0.250, 0.250, 0.250).

The calculation puts the final energy at -2.669 eV/atom. The energy above the most stable polymorph in this dataset is 480 meV per atom.

[2]
Below is a geometry-optimized ZnNi2Sb structure, with properties calculated at the GGA-PBE level.

The structure belongs to space group P4mm (No. 99); the cell edges are 3.399, 3.399 and 5.155 Å and the angles 90.00°, 90.00° and 90.00°. The distinct sites, in fractional coordinates, are Zn at (0.000, 0.000, 0.000), Ni at (0.000, 0.000, 0.465), Ni at (0.500, 0.500, 0.171) and Sb at (0.500, 0.500, 0.663).

The calculation puts the final energy at -4.299 eV/atom.

[3]
Below is a geometry-optimized MgAl2Tl structure, with properties calculated at the GGA-PBE level.

The structure belongs to space group P2/m (No. 10); the cell edges are 3.043, 5.318 and 5.434 Å and the angles 90.00°, 97.24° and 90.00°. The distinct sites, in fractional coordinates, are Mg at (0.000, 0.000, 0.000), Al at (0.368, 0.500, 0.229) and Tl at (0.500, 0.000, 0.500).

The calculation puts the final energy at -2.680 eV/atom.

[4]
Below is a geometry-optimized Cr2CoRe structure, with properties calculated at the GGA-PBE level.

The structure belongs to space group I4/mmm (No. 139); the cell edges are 3.651, 3.651 and 7.357 Å and the angles 90.00°, 90.00° and 90.00°. The distinct sites, in fractional coordinates, are Cr at (0.000, 0.500, 0.250), Co at (0.000, 0.000, 0.000) and Re at (0.000, 0.000, 0.500).

The calculation puts the final energy at -9.578 eV/atom.

[5]
Below is a geometry-optimized VAgS2 structure, with properties calculated at the GGA-PBE level.

The structure belongs to space group P3m1 (No. 156); the cell edges are 4.0506, 4.0506 and 5.0012 Å and the angles 90.00°, 90.00° and 120.00°. The distinct sites, in fractional coordinates, are V at (0.0000, 0.0000, 0.0000), Ag at (0.6667, 0.3333, 0.6412), S at (0.0000, 0.0000, 0.4590) and S at (0.3333, 0.6667, 0.0037).

The calculation puts the final energy at -5.397 eV/atom.

[6]
Below is a geometry-optimized Rb3V2Cl8 structure, with properties calculated at the GGA-PBE level.

The structure belongs to space group R-3m (No. 166, hexagonal axes); the cell edges are 7.5325, 7.5325 and 24.5310 Å and the angles 90.00°, 90.00° and 120.00°. The distinct sites, in fractional coordinates, are Rb at (0.0000, 0.0000, 0.0000), Rb at (0.0000, 0.0000, 0.2268), V at (0.0000, 0.0000, 0.4577), Cl at (0.0000, 0.0000, 0.3555) and Cl at (0.0165, 0.5082, 0.7817).

The calculation puts the final energy at -4.155 eV/atom.

[7]
Below is a geometry-optimized Tm2TcO structure, with properties calculated at the GGA-PBE level.

The structure belongs to space group R-3m (No. 166, hexagonal axes); the cell edges are 3.1896, 3.1896 and 24.5207 Å and the angles 90.00°, 90.00° and 120.00°. The distinct sites, in fractional coordinates, are Tm at (0.0000, 0.0000, 0.1073), Tc at (0.0000, 0.0000, 0.0000) and O at (0.0000, 0.0000, 0.5000).

The calculation puts the final energy at -6.875 eV/atom.

[8]
Below is a geometry-optimized Np4Be structure, with properties calculated at the GGA-PBE level.

The structure belongs to space group Pm-3m (No. 221); the cell edges are 4.913, 4.913 and 4.913 Å and the angles 90.00°, 90.00° and 90.00°. The distinct sites, in fractional coordinates, are Np at (0.000, 0.000, 0.000), Np at (0.000, 0.500, 0.500) and Be at (0.500, 0.500, 0.500).

The calculation puts the final energy at -9.881 eV/atom.

[9]
Below is a geometry-optimized TbBIr structure, with properties calculated at the GGA-PBE level.

The structure belongs to space group P-6m2 (No. 187); the cell edges are 3.6915, 3.6915 and 4.2789 Å and the angles 90.00°, 90.00° and 120.00°. The distinct sites, in fractional coordinates, are Tb at (0.0000, 0.0000, 0.0000), B at (0.3333, 0.6667, 0.5000) and Ir at (0.6667, 0.3333, 0.5000).

The calculation puts the final energy at -7.373 eV/atom. The energy above the most stable polymorph in this dataset is 0 meV per atom.

[10]
Below is a geometry-optimized La2TaBr structure, with properties calculated at the GGA-PBE level.

The structure belongs to space group Imm2 (No. 44); the cell edges are 3.524, 5.133 and 12.091 Å and the angles 90.00°, 90.00° and 90.00°. The distinct sites, in fractional coordinates, are La at (0.000, 0.000, 0.000), La at (0.000, 0.500, 0.230), Ta at (0.000, 0.500, 0.734) and Br at (0.000, 0.000, 0.420).

The calculation puts the final energy at -5.828 eV/atom. The energy above the most stable polymorph in this dataset is 291 meV per atom.

[11]
Below is a geometry-optimized KHS4 structure, with properties calculated at the GGA-PBE level.

The structure belongs to space group P-1 (No. 2); the cell edges are 6.211, 6.472 and 9.238 Å and the angles 81.55°, 86.23° and 70.71°. The distinct sites, in fractional coordinates, are K at (0.023, 0.219, 0.178), H at (0.241, 0.132, 0.599), S at (0.048, 0.262, 0.812), S at (0.293, 0.626, 0.238), S at (0.336, 0.987, 0.498) and S at (0.469, 0.402, 0.107).

The calculation puts the final energy at -3.828 eV/atom.

[12]
Below is a geometry-optimized BeSb2Se structure, with properties calculated at the GGA-PBE level.

The structure belongs to space group P4mm (No. 99); the cell edges are 3.241, 3.241 and 8.827 Å and the angles 90.00°, 90.00° and 90.00°. The distinct sites, in fractional coordinates, are Be at (0.000, 0.000, 0.000), Sb at (0.000, 0.000, 0.717), Sb at (0.500, 0.500, 0.380) and Se at (0.500, 0.500, 0.071).

The calculation puts the final energy at -3.848 eV/atom. The energy above the most stable polymorph in this dataset is 95 meV per atom.

[13]
Below is a geometry-optimized KCa2MoN4 structure, with properties calculated at the GGA-PBE level.

The structure belongs to space group Pmn2_1 (No. 31); the cell edges are 8.145, 6.224 and 5.912 Å and the angles 90.00°, 90.00° and 90.00°. The distinct sites, in fractional coordinates, are K at (0.000, 0.182, 0.000), Ca at (0.246, 0.312, 0.513), Mo at (0.000, 0.802, 0.526), N at (0.000, 0.102, 0.475), N at (0.000, 0.765, 0.839) and N at (0.188, 0.669, 0.404).

The calculation puts the final energy at -6.755 eV/atom.